The following is a DFT calculation (GGA-PBE) of an optimized crystal structure of BaZnW.

The calculation puts the polymorph energy (0 for the lowest one) at 0 meV per atom. As for the energy of formation from the pure elements: 0.8771 eV per atom. The calculation puts the density of states at the Fermi level at 3.19 states/eV per cell. For the calculated volume, the calculation gives 72.8 Å³/f.u. The mass density comes out at 8.81 Mg/m³. The final energy is -4.506 eV/atom. The value obtained for the total magnetic moment is 0.00 μB/f.u.

Cell lengths 6.5115, 6.5115, 6.5115 Å; angles 152.50, 145.04, 45.04 degrees
Fractional coordinates of all 3 atoms:
W: 0.2883 0.2883 0.0000
Ba: 0.9983 0.9983 0.0000
Zn: 0.7134 0.7134 0.0000